Record 1
Compound: Nd2TmPb3
Source: Alexandria
Functional: GGA-PBE
Structure: relaxed

Values from the calculation:
- Total moment: 0.002 μB/f.u.
- Energy relative to the elements: -0.47 eV/atom
- Calculated total energy: -4.66 eV per atom
- Distance to the lowest polymorph of the same formula: 0 meV per atom
- N(E_F): 10.03 states/eV/cell

Geometry as extended XYZ:
```
12
Lattice="-2.181 -0.227 4.517 -6.926 -4.041 -0.757 4.377 -7.825 1.721" Properties=species:S:1:pos:R:3 pbc="T T T"
Pb -0.835 -7.471 4.802
Pb -3.083 -3.454 3.920
Pb -0.020 -2.028 2.680
Pb 2.216 -6.024 3.558
Pb -3.895 -4.622 0.678
Pb -1.648 -8.639 1.560
Nd 0.000 0.000 0.000
Nd 2.188 -3.912 0.860
Nd -3.878 -6.755 3.369
Nd -0.852 -5.338 2.111
Tm -3.061 -1.440 1.240
Tm -6.046 -2.829 2.519
```

Record 2
Compound: GaCu2Sb
Source: Alexandria
Functional: GGA-PBE
Structure: relaxed

Values from the calculation:
- Total moment: 0.000 μB/f.u.
- Formation energy from raw total energies: 12.2 kJ/mol of atoms
- Calculated total energy: -3.71 eV per atom
- Distance to the lowest polymorph of the same formula: 0 meV per atom
- N(E_F): 3.20 states/eV/cell

Geometry as extended XYZ:
```
8
Lattice="4.230 0.000 0.000 0.000 4.230 0.000 2.115 2.115 8.266" Properties=species:S:1:pos:R:3 pbc="T T T"
Cu 2.979 1.057 2.067
Cu 1.251 3.172 2.067
Cu 3.172 3.366 6.200
Cu 5.287 5.094 6.200
Sb 4.230 2.115 4.133
Sb 0.000 0.000 0.000
Ga 2.115 4.230 4.133
Ga 2.115 2.115 0.000
```

Record 3
Compound: Li2UNbO6
Source: Alexandria
Functional: GGA-PBE
Structure: relaxed

Values from the calculation:
- Total moment: 1.008 μB/f.u.
- Formation energy from raw total energies: -257.0 kJ/mol of atoms
- Calculated total energy: -8.16 eV per atom
- N(E_F): 5.18 states/eV/cell

Geometry as extended XYZ:
```
20
Lattice="-3.529 2.229 -3.406 -2.156 -5.163 -1.144 -5.175 0.848 5.922" Properties=species:S:1:pos:R:3 pbc="T T T"
O -8.030 0.173 0.978
O -2.733 0.897 0.222
O -5.514 1.243 -0.367
O -4.224 -1.922 -2.767
O -8.127 -2.982 1.150
O -7.187 -2.963 4.048
O -2.830 -2.259 0.393
O -6.636 -0.163 4.139
O -6.139 -1.734 -0.497
O -4.721 -0.351 1.869
O -3.673 0.877 -2.676
O -5.346 -3.329 1.738
Nb -1.078 -2.581 -0.572
Nb -4.352 1.539 1.258
Li -6.688 -0.674 2.201
Li -4.172 -1.412 -0.830
Li -9.480 -2.161 -0.079
Li -1.380 0.076 1.451
U -3.665 -2.157 2.389
U -1.765 1.114 -1.703
```

Record 4
Compound: Y3Ni9Ge2
Source: Alexandria
Functional: GGA-PBE
Structure: relaxed

Values from the calculation:
- Total moment: 0.000 μB/f.u.
- Energy relative to the elements: -0.39 eV/atom
- Calculated total energy: -6.15 eV per atom
- N(E_F): 13.86 states/eV/cell

Geometry as extended XYZ:
```
14
Lattice="3.991 0.000 0.000 1.996 7.426 0.181 1.996 1.859 7.191" Properties=species:S:1:pos:R:3 pbc="T T T"
Ni 1.996 2.319 4.375
Ni 5.987 6.820 7.069
Ni 5.987 8.431 5.040
Ni 1.996 4.787 1.268
Ni 1.996 2.465 0.303
Ni 5.987 6.966 2.998
Ni 5.987 4.499 6.105
Ni 1.996 0.854 2.332
Ni 1.996 4.643 3.686
Ge 3.991 5.896 2.108
Ge 3.991 3.389 5.265
Y 0.000 0.000 0.000
Y 3.991 2.858 2.269
Y 3.991 6.427 5.103
```